[1]
2
Lattice="2.798 0.000 0.000 0.000 2.798 0.000 0.000 0.000 6.402" Properties=species:S:1:pos:R:3 comment="HgAs | Alexandria | PBE | optimized geometry" de_polymorph_mev_per_atom=377.9 dft_energy_ev_per_fu=-4.20 vol_a3_per_cell=50.1 delta_e_f_ev_per_fu=0.76 pbc="T T T"
As 0.000 0.000 0.000
Hg 1.399 1.399 3.201



[2]
4
Lattice="-2.662 -1.521 3.335 1.918 -4.091 -0.335 3.124 1.215 3.048" Properties=species:S:1:pos:R:3 comment="Hg3As | Alexandria | PBE | optimized geometry" de_polymorph_mev_per_atom=216.1 dft_energy_ev_per_fu=-4.30 vol_a3_per_cell=93.0 delta_e_f_ev_per_fu=1.26 pbc="T T T"
As 0.000 0.000 0.000
Hg 2.521 -1.438 1.356
Hg 0.231 -0.153 3.191
Hg -0.372 -2.806 1.500



[3]
4
Lattice="5.026 0.000 0.000 2.513 4.353 0.000 2.513 1.451 4.104" Properties=species:S:1:pos:R:3 comment="HgAs | Alexandria | PBE | optimized geometry" de_polymorph_mev_per_atom=406.6 dft_energy_ev_per_fu=-4.14 vol_a3_per_cell=89.8 delta_e_f_ev_per_fu=0.81 pbc="T T T"
As 0.000 0.000 0.000
As 2.513 1.451 1.026
Hg 5.026 2.902 2.052
Hg 7.539 4.353 3.078



[4]
4
Lattice="-3.171 0.651 -5.991 -6.297 0.389 -2.562 -4.023 4.368 -3.333" Properties=species:S:1:pos:R:3 comment="HgAs | Alexandria | PBE | optimized geometry" de_polymorph_mev_per_atom=107.9 dft_energy_ev_per_fu=-4.74 vol_a3_per_cell=117.1 delta_e_f_ev_per_fu=0.22 pbc="T T T"
As -0.892 0.358 -0.786
As -12.599 5.050 -11.100
Hg -5.593 2.242 -4.928
Hg -7.898 3.166 -6.958



[5]
4
Lattice="-1.598 -1.884 -4.493 2.553 -3.854 -2.218 -2.098 -4.673 -0.220" Properties=species:S:1:pos:R:3 comment="Hg3As | Alexandria | PBE | optimized geometry" de_polymorph_mev_per_atom=210.9 dft_energy_ev_per_fu=-4.32 vol_a3_per_cell=95.3 delta_e_f_ev_per_fu=1.24 pbc="T T T"
As 0.000 0.000 0.000
Hg -0.286 -2.603 -1.733
Hg -0.572 -5.206 -3.465
Hg -0.858 -7.809 -5.198



[6]
8
Lattice="3.408 -8.670 0.000 3.408 8.670 0.000 0.000 0.000 3.801" Properties=species:S:1:pos:R:3 comment="Hg3As | Alexandria | PBE | optimized geometry" de_polymorph_mev_per_atom=0.0 dft_energy_ev_per_fu=-5.16 vol_a3_per_cell=224.6 delta_e_f_ev_per_fu=0.39 pbc="T T T"
Hg 3.408 -7.476 0.950
Hg 3.408 7.476 2.851
Hg 1.631 -3.178 0.950
Hg 5.185 3.178 2.851
Hg 5.185 -3.178 0.950
Hg 1.631 3.178 2.851
As 3.408 0.782 2.851
As 3.408 -0.782 0.950



[7]
8
Lattice="-4.779 1.558 3.494 -3.788 -2.708 -3.974 0.476 -4.693 2.743" Properties=species:S:1:pos:R:3 comment="HgAs | Alexandria | PBE | optimized geometry" de_polymorph_mev_per_atom=245.1 dft_energy_ev_per_fu=-4.46 vol_a3_per_cell=204.5 delta_e_f_ev_per_fu=0.49 pbc="T T T"
Hg -1.538 -0.206 -0.086
Hg -4.223 -2.156 2.472
Hg -3.868 -3.687 -0.209
Hg -7.030 -0.943 -0.394
As -4.143 -1.181 -1.302
As -7.111 -3.333 0.960
As -0.980 -2.510 1.303
As -4.425 0.032 0.822



[8]
9
Lattice="-5.708 5.708 1.698 5.708 -5.708 1.698 5.708 5.708 -1.698" Properties=species:S:1:pos:R:3 comment="Hg5As4 | Alexandria | PBE | optimized geometry" de_polymorph_mev_per_atom=0.0 dft_energy_ev_per_fu=-18.02 vol_a3_per_cell=221.2 delta_e_f_ev_per_fu=2.09 pbc="T T T"
Hg 0.000 0.000 0.000
Hg -1.900 1.900 1.698
Hg 1.900 -1.900 1.698
Hg 3.808 3.808 0.000
Hg 1.900 1.900 1.698
As 0.000 7.227 0.000
As 0.000 4.188 0.000
As 4.188 0.000 0.000
As 7.227 0.000 0.000



[9]
4
Lattice="3.658 0.000 0.000 0.000 2.832 0.673 0.000 4.587 11.088" Properties=species:S:1:pos:R:3 comment="HgAs | Alexandria | PBE | optimized geometry" de_polymorph_mev_per_atom=75.3 dft_energy_ev_per_fu=-4.80 vol_a3_per_cell=103.6 delta_e_f_ev_per_fu=0.15 pbc="T T T"
As 2.744 4.799 10.258
As 0.915 2.620 1.503
Hg 2.744 2.369 4.196
Hg 0.915 5.051 7.565



[10]
4
Lattice="2.913 0.000 0.000 0.000 3.563 0.000 0.000 0.000 11.128" Properties=species:S:1:pos:R:3 comment="HgAs | Alexandria | PBE | optimized geometry" de_polymorph_mev_per_atom=93.9 dft_energy_ev_per_fu=-4.76 vol_a3_per_cell=115.5 delta_e_f_ev_per_fu=0.19 pbc="T T T"
As 0.000 0.000 2.705
As 0.000 1.782 1.004
Hg 1.456 0.000 5.991
Hg 1.456 1.782 8.846



[11]
8
Lattice="-5.059 0.020 2.921 0.376 -5.787 0.706 2.603 0.719 4.503" Properties=species:S:1:pos:R:3 comment="Hg3As5 | Alexandria | PBE | optimized geometry" de_polymorph_mev_per_atom=41.0 dft_energy_ev_per_fu=-21.10 vol_a3_per_cell=179.2 delta_e_f_ev_per_fu=3.05 pbc="T T T"
Hg -2.342 -2.883 1.814
Hg -2.028 -1.469 4.468
Hg -0.053 -3.579 3.663
As 0.000 0.000 0.000
As 0.188 -2.894 0.353
As -2.530 0.010 1.461
As 0.597 -0.507 2.797
As -2.679 -4.541 5.334



[12]
4
Lattice="-0.628 4.411 5.437 -3.338 4.258 4.486 -0.170 -5.539 1.372" Properties=species:S:1:pos:R:3 comment="Hg3As | Alexandria | PBE | optimized geometry" de_polymorph_mev_per_atom=105.3 dft_energy_ev_per_fu=-4.74 vol_a3_per_cell=102.0 delta_e_f_ev_per_fu=0.81 pbc="T T T"
As 0.000 0.000 0.000
Hg -2.068 1.565 5.648
Hg -0.957 0.727 2.613
Hg -3.179 2.403 8.682



[13]
7
Lattice="-2.359 -0.837 -5.267 0.788 -4.524 3.594 -4.978 0.803 2.102" Properties=species:S:1:pos:R:3 comment="Hg3As4 | Alexandria | PBE | optimized geometry" de_polymorph_mev_per_atom=458.1 dft_energy_ev_per_fu=-15.38 vol_a3_per_cell=160.9 delta_e_f_ev_per_fu=4.13 pbc="T T T"
Hg 0.394 -2.262 1.797
Hg -0.785 -2.680 -0.836
Hg -1.179 -0.418 -2.633
As -1.442 0.232 0.609
As -3.537 0.570 1.493
As -3.799 -1.665 -1.262
As -2.750 -2.894 1.691



[14]
4
Lattice="5.608 0.000 0.000 0.000 2.967 0.087 0.000 3.007 5.656" Properties=species:S:1:pos:R:3 comment="HgAs | Alexandria | PBE | optimized geometry" de_polymorph_mev_per_atom=205.8 dft_energy_ev_per_fu=-4.54 vol_a3_per_cell=92.7 delta_e_f_ev_per_fu=0.41 pbc="T T T"
As 0.000 5.342 5.033
As 2.804 5.111 5.018
Hg 0.000 2.807 2.162
Hg 2.804 1.673 2.145



[15]
13
Lattice="11.116 0.102 0.064 8.666 6.961 0.064 8.666 3.095 6.236" Properties=species:S:1:pos:R:3 comment="Hg7As6 | Alexandria | PBE | optimized geometry" dft_energy_ev_per_fu=-27.76 vol_a3_per_cell=472.7 delta_e_f_ev_per_fu=2.25 pbc="T T T"
As 27.462 9.806 6.144
As 0.986 0.352 0.221
As 22.541 8.049 5.043
As 5.907 2.109 1.322
As 18.136 6.476 4.057
As 10.313 3.682 2.307
Hg 16.382 7.808 2.715
Hg 17.622 4.334 2.715
Hg 16.382 5.850 5.842
Hg 12.067 2.350 3.649
Hg 12.067 4.309 0.523
Hg 10.826 5.825 3.649
Hg 14.224 5.079 3.182



[16]
4
Lattice="8.220 0.207 -0.187 5.198 4.109 -0.118 0.810 0.568 3.363" Properties=species:S:1:pos:R:3 comment="HgAs | Alexandria | PBE | optimized geometry" de_polymorph_mev_per_atom=183.2 dft_energy_ev_per_fu=-4.59 vol_a3_per_cell=110.6 delta_e_f_ev_per_fu=0.37 pbc="T T T"
As 12.753 4.046 -0.099
As 11.839 3.282 2.077
Hg 7.094 2.671 1.495
Hg 4.080 0.341 0.787



[17]
4
Lattice="-3.255 -1.484 -0.422 1.653 -0.164 3.196 -4.497 9.072 2.791" Properties=species:S:1:pos:R:3 comment="HgAs | Alexandria | PBE | optimized geometry" de_polymorph_mev_per_atom=0.0 dft_energy_ev_per_fu=-4.95 vol_a3_per_cell=118.0 delta_e_f_ev_per_fu=0.00 pbc="T T T"
As -0.261 0.527 0.162
As -2.482 0.697 1.319
Hg -2.192 4.422 1.360
Hg -5.049 5.875 2.912



[18]
4
Lattice="-2.966 -1.855 3.691 -2.100 -1.070 -4.506 4.565 -2.225 0.269" Properties=species:S:1:pos:R:3 comment="Hg3As | Alexandria | PBE | optimized geometry" de_polymorph_mev_per_atom=41.8 dft_energy_ev_per_fu=-4.99 vol_a3_per_cell=103.0 delta_e_f_ev_per_fu=0.56 pbc="T T T"
As 0.000 0.000 0.000
Hg 0.799 -2.040 1.980
Hg -2.533 -1.463 -0.408
Hg 1.233 -1.647 -2.119



[19]
7
Lattice="4.092 -11.038 7.070 -1.058 -11.187 7.895 -1.816 9.637 -9.613" Properties=species:S:1:pos:R:3 comment="Hg3As4 | Alexandria | PBE | optimized geometry" de_polymorph_mev_per_atom=0.0 dft_energy_ev_per_fu=-18.58 vol_a3_per_cell=183.5 delta_e_f_ev_per_fu=0.92 pbc="T T T"
Hg 0.000 0.000 0.000
Hg 2.186 -16.012 10.781
Hg 0.848 -6.213 4.183
As 2.739 -20.059 13.506
As 0.296 -2.166 1.459
As 1.875 -13.735 9.248
As 1.159 -8.490 5.717



[20]
4
Lattice="5.704 0.000 0.000 0.000 5.704 0.000 0.000 0.000 2.902" Properties=species:S:1:pos:R:3 comment="HgAs | Alexandria | PBE | optimized geometry" de_polymorph_mev_per_atom=223.9 dft_energy_ev_per_fu=-4.50 vol_a3_per_cell=94.4 delta_e_f_ev_per_fu=0.45 pbc="T T T"
As 1.426 4.278 0.000
As 4.278 1.426 0.000
Hg 1.426 1.426 2.901
Hg 4.278 4.278 0.001